LuMgSe2 | Alexandria via LeMat-Bulk | PBE | relaxed; uncorrected formation energy = -1.3498 eV/atom; crystal system = trigonal; symmetry = No. 166; calculated volume = 88 Å³/cell; final energy = -18.48 eV/cell
1.0
-2.413 -1.580 -2.545
0.467 -3.664 -1.075
-4.714 -3.765 3.900
Mg Lu Se
1 1 2
direct
0.000 0.000 0.000
0.500 0.500 0.500
0.254 0.254 0.239
0.746 0.746 0.761



Cs2K2TlBi2 | Alexandria via LeMat-Bulk | PBE | relaxed; calculated formation energy = -4.7 kcal/mol of atoms; crystal system = monoclinic; symmetry = No. 12; calculated volume = 364 Å³/cell; final energy = -15.45 eV/cell
1.0
6.039 0.000 0.000
3.020 8.599 -2.050
3.020 0.101 6.992
Cs K Tl Bi
2 2 1 2
direct
0.148 0.188 0.517
0.852 0.812 0.483
0.284 0.580 0.852
0.716 0.420 0.148
0.000 0.000 0.000
0.440 0.177 0.943
0.560 0.823 0.057



Mg8Pb3 | Alexandria via LeMat-Bulk | PBE | relaxed; calculated formation energy = -1.0 kcal/mol of atoms; crystal system = monoclinic; symmetry = No. 12; calculated volume = 270 Å³/cell; final energy = -24.36 eV/cell
1.0
4.525 0.000 0.000
-2.262 5.010 -1.112
0.000 -0.560 12.022
Mg Pb
8 3
direct
0.725 0.450 0.090
0.275 0.550 0.910
0.546 0.092 0.821
0.454 0.908 0.179
0.820 0.641 0.730
0.180 0.359 0.270
0.635 0.270 0.453
0.365 0.730 0.547
0.000 0.000 0.000
0.903 0.807 0.357
0.097 0.193 0.643



TaInFe2 | Alexandria via LeMat-Bulk | PBE | relaxed; calculated formation energy = 5.5 kcal/mol of atoms; crystal system = tetragonal; symmetry = No. 119; calculated volume = 61 Å³/cell; final energy = -30.57 eV/cell
1.0
4.965 0.050 0.000
1.990 4.549 0.000
-3.477 -2.299 2.697
Fe In Ta
2 1 1
direct
0.000 0.000 0.000
0.250 0.750 0.500
0.500 0.500 0.000
0.750 0.250 0.500



MgScW | Alexandria via LeMat-Bulk | PBE | relaxed; calculated formation energy = 8.1 kcal/mol of atoms; crystal system = orthorhombic; symmetry = No. 44; calculated volume = 57 Å³/cell; final energy = -19.82 eV/cell
1.0
-4.915 -1.919 0.122
-1.696 -3.060 3.951
1.999 4.639 -1.531
Mg Sc W
1 1 1
direct
0.006 0.006 0.000
0.326 0.326 0.000
0.668 0.668 0.000



AlCoTe2 | Alexandria via LeMat-Bulk | PBE | relaxed; uncorrected formation energy = 0.4182 eV/atom; crystal system = orthorhombic; symmetry = No. 47; calculated volume = 107 Å³/cell; final energy = -15.46 eV/cell
1.0
3.816 0.000 0.000
0.000 7.357 0.000
0.000 0.000 3.797
Te Co Al
2 1 1
direct
0.000 0.000 0.000
0.500 0.500 0.000
0.000 0.500 0.500
0.500 0.000 0.500



SiSnN2Cl | Alexandria via LeMat-Bulk | PBE | relaxed; uncorrected formation energy = 1.9472 eV/atom; crystal system = tetragonal; symmetry = No. 123; calculated volume = 77 Å³/cell; final energy = -18.19 eV/cell
1.0
-3.039 0.927 -2.582
1.701 -2.960 -3.065
-2.285 -2.987 1.617
Si N Sn Cl
1 2 1 1
direct
0.000 0.500 0.000
0.000 0.000 0.500
0.500 0.000 0.000
0.500 0.500 0.500
0.000 0.000 0.000



Sr2MnPb | Alexandria via LeMat-Bulk | PBE | relaxed; calculated formation energy = 5.8 kcal/mol of atoms; crystal system = monoclinic; symmetry = No. 12; calculated volume = 142 Å³/cell; final energy = -15.23 eV/cell
1.0
-5.240 -1.886 0.876
-2.649 -3.756 3.264
-2.055 3.929 5.308
Mn Pb Sr
1 1 2
direct
0.750 0.750 0.750
0.250 0.250 0.250
0.002 0.002 0.998
0.498 0.498 0.502



CsKTlO2 | Alexandria via LeMat-Bulk | PBE | relaxed; uncorrected formation energy = -0.7855 eV/atom; crystal system = monoclinic; symmetry = No. 13; calculated volume = 345 Å³/cell; final energy = -36.32 eV/cell
1.0
-1.350 -5.746 3.056
6.947 -0.697 1.758
-1.222 3.557 6.149
Cs K Tl O
2 2 2 4
direct
0.223 0.500 0.750
0.777 0.500 0.250
0.488 0.000 0.250
0.512 0.000 0.750
0.000 0.000 0.000
0.000 0.000 0.500
0.739 0.820 0.007
0.739 0.180 0.493
0.261 0.820 0.507
0.261 0.180 0.993



CdTe4Pb | Alexandria via LeMat-Bulk | PBE | relaxed; uncorrected formation energy = 0.2454 eV/atom; crystal system = cubic; symmetry = No. 216; calculated volume = 190 Å³/cell; final energy = -15.72 eV/cell
1.0
5.561 -2.200 -2.424
2.400 -5.635 2.032
0.005 -5.112 -3.938
Cd Te Pb
1 4 1
direct
0.750 0.750 0.750
0.875 0.375 0.375
0.375 0.375 0.875
0.375 0.875 0.375
0.375 0.375 0.375
0.000 0.000 0.000



K4RbAu | Alexandria via LeMat-Bulk | PBE | relaxed; calculated formation energy = -2.4 kcal/mol of atoms; crystal system = monoclinic; symmetry = No. 12; calculated volume = 735 Å³/cell; final energy = -18.51 eV/cell
1.0
-0.887 3.564 6.922
-1.942 -8.014 3.877
11.274 1.283 -2.408
K Rb Au
8 2 2
direct
0.215 0.670 0.339
0.385 0.149 0.794
0.000 0.255 0.000
0.615 0.355 0.206
0.785 0.330 0.661
0.615 0.851 0.206
0.000 0.745 0.000
0.385 0.645 0.794
0.817 0.799 0.599
0.183 0.201 0.401
0.334 0.517 0.034
0.666 0.483 0.966



ZnGaMoRu | Alexandria via LeMat-Bulk | PBE | relaxed; calculated formation energy = 1.1 kcal/mol of atoms; crystal system = cubic; symmetry = No. 216; calculated volume = 59 Å³/cell; final energy = -24.22 eV/cell
1.0
4.363 0.000 0.000
2.182 3.779 0.000
2.182 1.260 3.563
Ru Mo Zn Ga
1 1 1 1
direct
0.000 0.000 0.000
0.750 0.750 0.750
0.250 0.250 0.250
0.500 0.500 0.500



LaTaCr2 | Alexandria via LeMat-Bulk | PBE | relaxed; calculated formation energy = 16.8 kcal/mol of atoms; crystal system = trigonal; symmetry = No. 166; calculated volume = 76 Å³/cell; final energy = -33.12 eV/cell
1.0
-3.620 6.863 4.404
-3.296 4.775 6.778
-0.844 6.611 5.932
Cr La Ta
2 1 1
direct
0.011 0.011 0.011
0.489 0.489 0.489
0.250 0.250 0.250
0.750 0.750 0.750



RbYHgCl6 | Alexandria via LeMat-Bulk | PBE | relaxed; uncorrected formation energy = -1.6648 eV/atom; crystal system = trigonal; symmetry = No. 163; calculated volume = 621 Å³/cell; final energy = -67.59 eV/cell
1.0
7.036 0.000 0.000
-3.518 6.093 0.000
0.000 0.000 14.483
Rb Y Hg Cl
2 2 2 12
direct
0.000 0.000 0.000
0.000 0.000 0.500
0.667 0.333 0.250
0.333 0.667 0.750
0.333 0.667 0.250
0.667 0.333 0.750
0.626 0.620 0.143
0.993 0.374 0.143
0.374 0.993 0.643
0.007 0.626 0.857
0.380 0.374 0.357
0.993 0.620 0.357
0.620 0.993 0.857
0.626 0.007 0.357
0.007 0.380 0.643
0.380 0.007 0.143
0.620 0.626 0.643
0.374 0.380 0.857



SrAsOs3 | Alexandria via LeMat-Bulk | PBE | relaxed; calculated formation energy = 25.3 kcal/mol of atoms; crystal system = cubic; symmetry = No. 221; calculated volume = 101 Å³/cell; final energy = -34.53 eV/cell
1.0
4.658 0.000 0.000
0.000 4.658 0.000
0.000 0.000 4.658
Sr As Os
1 1 3
direct
0.500 0.500 0.500
0.000 0.000 0.000
0.000 0.500 0.000
0.000 0.000 0.500
0.500 0.000 0.000



SrTiBe | Alexandria via LeMat-Bulk | PBE | relaxed; calculated formation energy = 7.1 kcal/mol of atoms; crystal system = monoclinic; symmetry = No. 12; calculated volume = 161 Å³/cell; final energy = -24.75 eV/cell
1.0
-2.794 -8.996 -2.447
0.849 -0.126 -4.084
4.049 -0.528 0.858
Be Ti Sr
2 2 2
direct
0.505 0.845 0.003
0.222 0.988 0.862
0.363 0.917 0.432
0.363 0.417 0.932
0.064 0.567 0.283
0.663 0.266 0.580



SbBrCl2 | Alexandria via LeMat-Bulk | PBE | relaxed; uncorrected formation energy = -0.6821 eV/atom; crystal system = monoclinic; symmetry = No. 8; calculated volume = 155 Å³/cell; final energy = -12.22 eV/cell
1.0
-4.631 -2.303 -4.550
-1.375 -3.605 -5.706
-2.415 -6.771 0.817
Sb Br Cl
1 1 2
direct
0.497 0.497 0.632
0.153 0.153 0.333
0.005 0.005 0.899
0.845 0.845 0.636



Pm8Se3S3O | Alexandria via LeMat-Bulk | PBE | relaxed; uncorrected formation energy = -1.8517 eV/atom; crystal system = trigonal; symmetry = No. 166; calculated volume = 378 Å³/cell; final energy = -93.57 eV/cell
1.0
-4.498 -2.403 6.255
8.021 -0.860 0.231
-3.275 7.459 0.511
Pm Se S O
8 3 3 1
direct
0.258 0.515 0.273
0.742 0.485 0.727
0.774 0.548 0.285
0.226 0.452 0.715
0.774 0.011 0.285
0.226 0.989 0.715
0.236 0.011 0.285
0.764 0.989 0.715
0.000 0.000 0.000
0.000 0.500 0.000
0.500 0.500 0.000
0.500 0.000 0.500
0.500 0.500 0.500
0.000 0.500 0.500
0.000 0.000 0.500



Cs6NaPb | Alexandria via LeMat-Bulk | PBE | relaxed; calculated formation energy = -0.5 kcal/mol of atoms; crystal system = orthorhombic; symmetry = No. 38; calculated volume = 724 Å³/cell; final energy = -10.33 eV/cell
1.0
7.790 -8.102 0.000
7.790 8.102 0.000
0.000 0.000 5.734
Cs Na Pb
6 1 1
direct
0.779 0.509 0.000
0.491 0.221 0.000
0.327 0.673 0.000
0.638 0.906 0.500
0.094 0.362 0.500
0.057 0.943 0.500
0.849 0.151 0.000
0.765 0.235 0.500



Er3As6Pd20 | Alexandria via LeMat-Bulk | PBE | relaxed; calculated formation energy = -13.9 kcal/mol of atoms; crystal system = cubic; symmetry = No. 225; calculated volume = 492 Å³/cell; final energy = -162.94 eV/cell
1.0
-6.291 -3.444 5.209
2.229 -5.427 6.645
-0.782 2.724 8.399
Er As Pd
3 6 20
direct
0.750 0.750 0.750
0.250 0.250 0.250
0.000 0.000 0.000
0.266 0.734 0.734
0.734 0.266 0.266
0.266 0.266 0.734
0.734 0.266 0.734
0.266 0.734 0.266
0.734 0.734 0.266
0.381 0.381 0.857
0.143 0.619 0.619
0.653 0.000 0.000
0.653 0.347 0.000
0.000 0.000 0.653
0.381 0.857 0.381
0.000 0.347 0.653
0.653 0.000 0.347
0.000 0.653 0.000
0.000 0.000 0.347
0.347 0.000 0.653
0.000 0.347 0.000
0.347 0.653 0.000
0.347 0.000 0.000
0.381 0.381 0.381
0.619 0.619 0.143
0.619 0.619 0.619
0.619 0.143 0.619
0.857 0.381 0.381
0.000 0.653 0.347



Sc2AsN | Alexandria via LeMat-Bulk | PBE | relaxed; uncorrected formation energy = -0.8332 eV/atom; crystal system = trigonal; symmetry = No. 166; calculated volume = 100 Å³/cell; final energy = -28.97 eV/cell
1.0
2.434 0.000 6.515
-1.217 2.108 6.515
-1.217 -2.108 6.515
Sc As N
2 1 1
direct
0.905 0.905 0.905
0.095 0.095 0.095
0.500 0.500 0.500
0.000 0.000 0.000



FeReTe2 | Alexandria via LeMat-Bulk | PBE | relaxed; uncorrected formation energy = 0.9989 eV/atom; crystal system = orthorhombic; symmetry = No. 65; calculated volume = 78 Å³/cell; final energy = -23.20 eV/cell
1.0
3.199 -0.006 0.000
-1.460 2.846 0.000
0.000 0.000 8.625
Fe Re Te
1 1 2
direct
0.500 0.500 0.250
0.500 0.500 0.750
0.000 0.000 0.002
0.000 0.000 0.498



Rb4AcPa3S12 | Alexandria via LeMat-Bulk | PBE | relaxed; uncorrected formation energy = -1.4613 eV/atom; crystal system = cubic; symmetry = No. 229; calculated volume = 633 Å³/cell; final energy = -115.22 eV/cell
1.0
-2.463 7.208 -5.452
-7.075 -6.121 0.468
1.996 3.129 8.601
Rb Ac Pa S
4 1 3 12
direct
0.500 0.500 0.500
0.000 0.000 0.500
0.500 0.000 0.000
0.000 0.500 0.000
0.000 0.000 0.000
0.500 0.000 0.500
0.500 0.500 0.000
0.000 0.500 0.500
0.250 0.500 0.750
0.734 0.000 0.734
0.266 0.000 0.266
0.750 0.500 0.250
0.734 0.734 0.000
0.266 0.266 0.000
0.750 0.250 0.500
0.250 0.750 0.500
0.500 0.250 0.750
0.000 0.734 0.734
0.500 0.750 0.250
0.000 0.266 0.266



SmThO | Alexandria via LeMat-Bulk | PBE | relaxed; uncorrected formation energy = -1.6354 eV/atom; crystal system = trigonal; symmetry = No. 156; calculated volume = 71 Å³/cell; final energy = -22.00 eV/cell
1.0
3.757 0.000 0.000
-1.879 3.254 0.000
0.000 0.000 5.789
O Sm Th
1 1 1
direct
0.667 0.333 0.322
0.333 0.667 0.570
0.000 0.000 0.108



Ir2WSe | Alexandria via LeMat-Bulk | PBE | relaxed; uncorrected formation energy = 0.6180 eV/atom; crystal system = tetragonal; symmetry = No. 123; calculated volume = 63 Å³/cell; final energy = -31.69 eV/cell
1.0
-0.932 3.211 2.262
-2.685 1.096 -2.663
-2.732 -2.119 1.883
Ir Se W
2 1 1
direct
0.000 0.000 0.000
0.000 0.500 0.500
0.500 0.500 0.000
0.500 0.000 0.500